# 1
First-principles (GGA-PBE) data for an optimized crystal structure of CeSc2Ga9, as listed in the Alexandria database.

a = 4.197 Å, b = 4.197 Å, c = 12.571 Å
α = 90.00°, β = 90.00°, γ = 90.00°
Sites, in units of the cell vectors:
Ce 0.000 0.000 0.000
Sc 0.000 0.000 0.340
Sc 0.000 0.000 0.660
Ga 0.500 0.500 0.000
Ga 0.500 0.500 0.335
Ga 0.500 0.500 0.665
Ga 0.500 0.000 0.177
Ga 0.500 0.000 0.500
Ga 0.500 0.000 0.823
Ga 0.000 0.500 0.177
Ga 0.000 0.500 0.500
Ga 0.000 0.500 0.823

The value obtained for the mass density is 6.4 g/cm³. The formation energy comes out at -0.50 eV per atom.

# 2
First-principles (GGA-PBE) data for an optimized crystal structure of Ce2ScGa, as listed in the Alexandria database.

a = 4.987 Å, b = 6.252 Å, c = 6.692 Å
α = 117.85°, β = 90.00°, γ = 90.00°
Sites, in units of the cell vectors:
Ce 0.250 0.289 0.122
Ce 0.750 0.711 0.878
Ce 0.750 0.167 0.878
Ce 0.250 0.833 0.122
Sc 0.250 0.310 0.620
Sc 0.750 0.690 0.380
Ga 0.750 0.184 0.368
Ga 0.250 0.816 0.632

For the excess energy over the best structure of this formula in the dataset, the calculation gives 0.000 eV/atom. The value obtained for the mass density is 7.1 g/cm³. The formation energy comes out at -0.32 eV per atom.

# 3
First-principles (GGA-PBE) data for an optimized crystal structure of Ce2ScGa, as listed in the Alexandria database.

a = 5.238 Å, b = 5.238 Å, c = 5.238 Å
α = 60.00°, β = 60.00°, γ = 60.00°
Each line ends with the local moment (μB).
Sites, in units of the cell vectors:
Sc 0.000 0.000 0.000  0.47
Ga 0.500 0.500 0.500  -0.03
Ce 0.250 0.250 0.250  0.81
Ce 0.750 0.750 0.750  0.81

For the excess energy over the best structure of this formula in the dataset, the calculation gives 0.244 eV/atom. The value obtained for the mass density is 6.5 g/cm³. The formation energy comes out at -0.08 eV per atom.

# 4
First-principles (GGA-PBE) data for an optimized crystal structure of CeScGa, as listed in the Alexandria database.

a = 5.025 Å, b = 5.025 Å, c = 6.202 Å
α = 90.00°, β = 90.00°, γ = 119.99°
Each line ends with the local moment (μB).
Sites, in units of the cell vectors:
Ce 0.000 0.500 0.000  0.58
Ce 0.000 0.500 0.500  0.58
Sc 0.667 0.833 0.750  0.11
Sc 0.333 0.167 0.250  0.11
Ga 0.333 0.167 0.750  -0.02
Ga 0.667 0.833 0.250  -0.02

For the excess energy over the best structure of this formula in the dataset, the calculation gives 0.000 eV/atom. The value obtained for the mass density is 6.2 g/cm³. The formation energy comes out at -0.40 eV per atom.

# 5
First-principles (GGA-PBE) data for an optimized crystal structure of CeScGa6, as listed in the Alexandria database.

a = 4.572 Å, b = 6.195 Å, c = 6.195 Å
α = 119.98°, β = 90.00°, γ = 90.00°
Sites, in units of the cell vectors:
Ce 0.000 0.083 0.917
Sc 0.500 0.417 0.583
Ga 0.000 0.062 0.406
Ga 0.000 0.594 0.938
Ga 0.000 0.594 0.406
Ga 0.500 0.457 0.104
Ga 0.500 0.896 0.543
Ga 0.500 0.897 0.103

For the excess energy over the best structure of this formula in the dataset, the calculation gives 0.025 eV/atom. The value obtained for the mass density is 6.6 g/cm³. The formation energy comes out at -0.48 eV per atom.

# 6
First-principles (GGA-PBE) data for an optimized crystal structure of Ce3ScGa12, as listed in the Alexandria database.

a = 4.291 Å, b = 4.291 Å, c = 17.135 Å
α = 90.00°, β = 90.00°, γ = 90.00°
Each line ends with the local moment (μB).
Sites, in units of the cell vectors:
Ce 0.000 0.000 0.243  0.28
Ce 0.000 0.000 0.500  0.39
Ce 0.000 0.000 0.757  0.28
Sc 0.000 0.000 0.000  0.00
Ga 0.500 0.500 0.000  0.00
Ga 0.500 0.500 0.249  0.01
Ga 0.500 0.500 0.500  0.01
Ga 0.500 0.500 0.751  0.01
Ga 0.500 0.000 0.116  0.00
Ga 0.500 0.000 0.372  0.01
Ga 0.500 0.000 0.628  0.01
Ga 0.500 0.000 0.884  0.00
Ga 0.000 0.500 0.116  0.00
Ga 0.000 0.500 0.372  0.01
Ga 0.000 0.500 0.628  0.01
Ga 0.000 0.500 0.884  0.00

The value obtained for the mass density is 6.9 g/cm³. The formation energy comes out at -0.50 eV per atom.

# 7
First-principles (GGA-PBE) data for an optimized crystal structure of CeSc4Ga4, as listed in the Alexandria database.

a = 5.491 Å, b = 8.999 Å, c = 8.999 Å
α = 90.00°, β = 90.00°, γ = 90.00°
Each line ends with the local moment (μB).
Sites, in units of the cell vectors:
Ce 0.000 0.000 0.000  0.87
Ce 0.500 0.500 0.500  0.87
Sc 0.386 0.347 0.895  0.01
Sc 0.886 0.605 0.847  0.01
Sc 0.386 0.653 0.105  0.01
Sc 0.114 0.153 0.605  0.01
Sc 0.614 0.895 0.653  0.01
Sc 0.114 0.847 0.395  0.01
Sc 0.886 0.395 0.153  0.01
Sc 0.614 0.105 0.347  0.01
Ga 0.606 0.796 0.349  0.00
Ga 0.606 0.204 0.651  0.00
Ga 0.106 0.849 0.704  0.00
Ga 0.894 0.296 0.849  0.00
Ga 0.894 0.704 0.151  0.00
Ga 0.394 0.349 0.204  0.00
Ga 0.394 0.651 0.796  0.00
Ga 0.106 0.151 0.296  0.00

The value obtained for the mass density is 4.5 g/cm³. The formation energy comes out at -0.29 eV per atom.

# 8
First-principles (GGA-PBE) data for an optimized crystal structure of Ce2ScGa4, as listed in the Alexandria database.

a = 5.083 Å, b = 5.296 Å, c = 7.414 Å
α = 110.93°, β = 90.00°, γ = 90.00°
Each line ends with the local moment (μB).
Sites, in units of the cell vectors:
Ce 0.500 0.197 0.394  0.80
Ce 0.500 0.803 0.606  0.80
Sc 0.000 0.500 0.000  -0.03
Ga 0.500 0.592 0.183  -0.01
Ga 0.000 0.910 0.821  0.01
Ga 0.500 0.408 0.817  -0.01
Ga 0.000 0.090 0.179  0.01

The value obtained for the mass density is 5.4 g/cm³. The formation energy comes out at 0.03 eV per atom.

# 9
First-principles (GGA-PBE) data for an optimized crystal structure of Ce5ScGa6, as listed in the Alexandria database.

a = 5.287 Å, b = 6.646 Å, c = 8.358 Å
α = 66.57°, β = 85.76°, γ = 90.00°
Each line ends with the local moment (μB).
Sites, in units of the cell vectors:
Sc 0.000 0.000 0.000  -0.06
Ga 0.805 0.622 0.310  0.00
Ga 0.805 0.068 0.310  0.00
Ga 0.500 0.791 0.000  0.00
Ga 0.500 0.209 0.000  0.00
Ga 0.195 0.932 0.690  0.00
Ga 0.195 0.378 0.690  0.00
Ce 0.703 0.184 0.633  0.20
Ce 0.317 0.342 0.315  0.56
Ce 0.000 0.500 0.000  0.58
Ce 0.683 0.658 0.685  0.56
Ce 0.297 0.816 0.367  0.20

The value obtained for the mass density is 7.2 g/cm³. The formation energy comes out at -0.50 eV per atom.

# 10
First-principles (GGA-PBE) data for an optimized crystal structure of CeScGa, as listed in the Alexandria database.

a = 3.232 Å, b = 3.232 Å, c = 7.041 Å
α = 103.27°, β = 103.27°, γ = 90.00°
Each line ends with the local moment (μB).
Sites, in units of the cell vectors:
Sc 0.593 0.593 0.186  0.04
Ce 0.298 0.298 0.596  0.42
Ga 0.959 0.959 0.918  -0.01

For the excess energy over the best structure of this formula in the dataset, the calculation gives 0.087 eV/atom. The value obtained for the mass density is 6.1 g/cm³. The formation energy comes out at -0.31 eV per atom.

# 11
First-principles (GGA-PBE) data for an optimized crystal structure of Ce2ScGa, as listed in the Alexandria database.

a = 4.976 Å, b = 4.306 Å, c = 4.306 Å
α = 90.00°, β = 90.00°, γ = 90.00°
Each line ends with the local moment (μB).
Sites, in units of the cell vectors:
Sc 0.500 0.500 0.500  0.05
Ga 0.500 0.000 0.000  -0.01
Ce 0.000 0.000 0.500  0.30
Ce 0.000 0.500 0.000  0.30

For the excess energy over the best structure of this formula in the dataset, the calculation gives 0.045 eV/atom. The value obtained for the mass density is 7.1 g/cm³. The formation energy comes out at -0.28 eV per atom.

# 12
First-principles (GGA-PBE) data for an optimized crystal structure of CeScGa6, as listed in the Alexandria database.

a = 4.247 Å, b = 4.247 Å, c = 8.415 Å
α = 90.00°, β = 90.00°, γ = 90.00°
Sites, in units of the cell vectors:
Ce 0.000 0.000 0.000
Sc 0.000 0.000 0.500
Ga 0.500 0.500 0.000
Ga 0.500 0.500 0.500
Ga 0.500 0.000 0.261
Ga 0.500 0.000 0.739
Ga 0.000 0.500 0.261
Ga 0.000 0.500 0.739

For the excess energy over the best structure of this formula in the dataset, the calculation gives 0.000 eV/atom. The value obtained for the mass density is 6.6 g/cm³. The formation energy comes out at -0.51 eV per atom.